1.
## PAu2O2 (GGA-PBEsol)

Data for an optimized crystal structure of PAu2O2.

Cell: 3.511 3.511 10.824 Å, 90.00 90.00 90.00°
Space group I4/mmm (No. 139)
One atom of each set of equivalent atoms:
P: 0.000 0.000 0.000 x2
Au: 0.000 0.000 0.377 x4
O: 0.000 0.500 0.250 x4

Values from the calculation:
Formation energy without anion corrections (eV per atom): 0.60
N(E_F) (states/eV/f.u.): 3.034

=====

2.
## Tc2PRu (GGA-PBEsol)

Data for an optimized crystal structure of Tc2PRu.

Cell: 2.839 4.262 8.594 Å, 90.00 90.00 90.00°
Space group Imm2 (No. 44)
One atom of each set of equivalent atoms:
Tc: 0.000 0.000 0.000 x2
Tc: 0.000 0.500 0.218 x2
P: 0.000 0.000 0.498 x2
Ru: 0.000 0.500 0.784 x2

Values from the calculation:
Formation energy (eV/atom): -0.32
N(E_F) (states/eV/f.u.): 2.837

=====

3.
## AgSBrCl2 (GGA-PBEsol)

Data for an optimized crystal structure of AgSBrCl2.

Cell: 5.109 5.109 4.762 Å, 90.00 90.00 90.00°
Space group P4/mmm (No. 123)
One atom of each set of equivalent atoms:
Ag: 0.000 0.000 0.000 x1
S: 0.500 0.500 0.000 x1
Br: 0.500 0.500 0.500 x1
Cl: 0.000 0.500 0.500 x2

Values from the calculation:
Formation energy without anion corrections (eV per atom): 0.58
N(E_F) (states/eV/f.u.): 2.160

=====

4.
## Ba3CrO5 (GGA-PBEsol)

Data for an optimized crystal structure of Ba3CrO5.

Cell: 7.250 7.250 11.674 Å, 90.00 90.00 90.00°
Space group I4/mcm (No. 140)
One atom of each set of equivalent atoms:
Ba: 0.000 0.000 0.250 x4
Ba: 0.178 0.322 0.000 x8
Cr: 0.000 0.500 0.250 x4
O: 0.000 0.000 0.000 x4
O: 0.136 0.364 0.343 x16

Values from the calculation:
Formation energy without anion corrections (eV per atom): -2.49
N(E_F) (states/eV/f.u.): 1.174

=====

5.
## TcSbI2O (GGA-PBEsol)

Data for an optimized crystal structure of TcSbI2O.

Cell: 5.310 5.310 5.093 Å, 90.00 90.00 90.00°
Space group P4/mmm (No. 123)
One atom of each set of equivalent atoms:
Tc: 0.000 0.000 0.000 x1
Sb: 0.000 0.000 0.500 x1
I: 0.000 0.500 0.000 x2
O: 0.500 0.500 0.500 x1

Values from the calculation:
Formation energy without anion corrections (eV per atom): 0.93
Energy relative to the lowest polymorph listed for this composition (meV/atom): 3
N(E_F) (states/eV/f.u.): 6.890

=====

6.
## Ba2Tl2Pb (GGA-PBEsol)

Data for an optimized crystal structure of Ba2Tl2Pb.

Cell: 8.234 8.234 5.292 Å, 90.00 90.00 90.00°
Space group P4/mbm (No. 127)
One atom of each set of equivalent atoms:
Ba: 0.178 0.322 0.000 x4
Tl: 0.128 0.628 0.500 x4
Pb: 0.000 0.000 0.500 x2

Values from the calculation:
Formation energy (eV/atom): -0.40
Energy relative to the lowest polymorph listed for this composition (meV/atom): 0
N(E_F) (states/eV/f.u.): 3.390